1.
{
  "formula": "AgBIrPd2",
  "functional": "PBE",
  "state": "relaxed",
  "lattice": [[4.215, 0.000, 0.000], [0.000, 4.215, 0.000], [0.000, 0.000, 4.122]],
  "species": ["Ag", "B", "Ir", "Pd", "Pd"],
  "frac_coords": [[0.000, 0.000, 0.000], [0.500, 0.500, 0.500], [0.500, 0.500, 0.000], [0.000, 0.500, 0.500], [0.500, 0.000, 0.500]],
  "n_ef_per_ev_cell": 6.795,
  "density_g_cm3": 11.9,
  "e_form_mev_per_atom": 42
}



2.
{
  "formula": "AgB2IrS",
  "functional": "PBE",
  "state": "relaxed",
  "lattice": [[3.913, 0.000, 0.000], [0.000, 3.913, 0.000], [0.000, 0.000, 5.416]],
  "species": ["Ag", "B", "B", "Ir", "S"],
  "frac_coords": [[0.000, 0.000, 0.000], [0.000, 0.500, 0.000], [0.500, 0.000, 0.000], [0.000, 0.000, 0.500], [0.500, 0.500, 0.500]],
  "formation_energy_uncorrected_ev_per_atom": 1.874,
  "n_ef_per_ev_cell": 3.624,
  "density_g_cm3": 7.1
}



3.
{
  "formula": "Ag2BSbIr",
  "functional": "PBE",
  "state": "relaxed",
  "lattice": [[5.219, 0.000, 0.000], [0.000, 5.219, 0.000], [0.000, 0.000, 3.898]],
  "species": ["Ag", "Ag", "B", "Sb", "Ir"],
  "frac_coords": [[0.000, 0.500, 0.000], [0.500, 0.000, 0.000], [0.000, 0.000, 0.500], [0.500, 0.500, 0.500], [0.000, 0.000, 0.000]],
  "formation_energy_uncorrected_ev_per_atom": 0.798,
  "n_ef_per_ev_cell": 3.370,
  "density_g_cm3": 8.5
}



4.
{
  "formula": "SiAgB2Ir",
  "functional": "PBE",
  "state": "relaxed",
  "lattice": [[3.889, 0.000, 0.000], [0.000, 3.889, 0.000], [0.000, 0.000, 5.443]],
  "species": ["Si", "Ag", "B", "B", "Ir"],
  "frac_coords": [[0.000, 0.000, 0.000], [0.500, 0.500, 0.500], [0.000, 0.500, 0.500], [0.500, 0.000, 0.500], [0.500, 0.500, 0.000]],
  "formation_energy_uncorrected_ev_per_atom": 1.771,
  "n_ef_per_ev_cell": 2.644,
  "density_g_cm3": 7.1
}



5.
{
  "formula": "SiAgBIr2",
  "functional": "PBE",
  "state": "relaxed",
  "lattice": [[4.159, 0.000, 0.000], [0.000, 4.159, 0.000], [0.000, 0.000, 4.099]],
  "species": ["Si", "Ag", "B", "Ir", "Ir"],
  "frac_coords": [[0.000, 0.000, 0.000], [0.500, 0.500, 0.000], [0.000, 0.000, 0.500], [0.000, 0.500, 0.500], [0.500, 0.000, 0.500]],
  "formation_energy_uncorrected_ev_per_atom": 0.338,
  "n_ef_per_ev_cell": 1.356,
  "density_g_cm3": 12.4
}



6.
{
  "formula": "Sr2AgBIr",
  "functional": "PBE",
  "state": "relaxed",
  "lattice": [[5.766, 0.000, 0.000], [0.000, 5.766, 0.000], [0.000, 0.000, 4.060]],
  "species": ["Sr", "Sr", "Ag", "B", "Ir"],
  "frac_coords": [[0.000, 0.500, 0.000], [0.500, 0.000, 0.000], [0.000, 0.000, 0.000], [0.000, 0.000, 0.500], [0.500, 0.500, 0.500]],
  "n_ef_per_ev_cell": 3.847,
  "density_g_cm3": 6.0,
  "e_form_mev_per_atom": 752
}



7.
{
  "formula": "TaAgBIr2",
  "functional": "PBE",
  "state": "relaxed",
  "lattice": [[4.791, 0.000, 0.000], [0.000, 4.791, 0.000], [0.000, 0.000, 4.789]],
  "species": ["Ta", "Ag", "B", "Ir", "Ir"],
  "frac_coords": [[0.000, 0.000, 0.000], [0.000, 0.000, 0.500], [0.500, 0.500, 0.000], [0.000, 0.500, 0.500], [0.500, 0.000, 0.500]],
  "n_ef_per_ev_cell": 8.722,
  "density_g_cm3": 10.3,
  "e_form_mev_per_atom": 3018
}



8.
{
  "formula": "YAgBIr2",
  "functional": "PBE",
  "state": "relaxed",
  "lattice": [[4.245, 0.000, 0.000], [0.000, 4.245, 0.000], [0.000, 0.000, 4.447]],
  "species": ["Y", "Ag", "B", "Ir", "Ir"],
  "frac_coords": [[0.000, 0.000, 0.000], [0.500, 0.500, 0.000], [0.500, 0.500, 0.500], [0.000, 0.500, 0.500], [0.500, 0.000, 0.500]],
  "n_ef_per_ev_cell": 0.512,
  "relative_energy_ev_per_atom": 0.0000,
  "density_g_cm3": 12.3,
  "e_form_mev_per_atom": -413
}



9.
{
  "formula": "Y2AgBIr",
  "functional": "PBE",
  "state": "relaxed",
  "lattice": [[5.107, 0.000, 0.000], [0.000, 5.107, 0.000], [0.000, 0.000, 3.965]],
  "species": ["Y", "Y", "Ag", "B", "Ir"],
  "frac_coords": [[0.000, 0.500, 0.000], [0.500, 0.000, 0.000], [0.000, 0.000, 0.500], [0.500, 0.500, 0.000], [0.500, 0.500, 0.500]],
  "n_ef_per_ev_cell": 1.654,
  "density_g_cm3": 7.8,
  "e_form_mev_per_atom": -483
}



10.
{
  "formula": "YAgBIr2",
  "functional": "PBE",
  "state": "relaxed",
  "lattice": [[4.159, 0.000, 0.000], [0.000, 4.159, 0.000], [0.000, 0.000, 4.796]],
  "species": ["Y", "Ag", "B", "Ir", "Ir"],
  "frac_coords": [[0.000, 0.000, 0.000], [0.500, 0.500, 0.000], [0.000, 0.000, 0.500], [0.000, 0.500, 0.500], [0.500, 0.000, 0.500]],
  "n_ef_per_ev_cell": 1.420,
  "relative_energy_ev_per_atom": 0.1743,
  "density_g_cm3": 11.9,
  "e_form_mev_per_atom": -239
}



11.
{
  "formula": "KAgB2",
  "functional": "PBE",
  "state": "relaxed",
  "lattice": [[6.335, 0.000, 0.000], [0.000, 6.335, 0.000], [0.000, 0.000, 6.335]],
  "species": ["K", "K", "K", "K", "Ag", "Ag", "Ag", "Ag", "B", "B", "B", "B", "B", "B", "B", "B"],
  "frac_coords": [[0.000, 0.000, 0.000], [0.000, 0.500, 0.500], [0.500, 0.000, 0.500], [0.500, 0.500, 0.000], [0.000, 0.000, 0.500], [0.000, 0.500, 0.000], [0.500, 0.000, 0.000], [0.500, 0.500, 0.500], [0.250, 0.250, 0.250], [0.250, 0.250, 0.750], [0.250, 0.750, 0.250], [0.250, 0.750, 0.750], [0.750, 0.250, 0.250], [0.750, 0.250, 0.750], [0.750, 0.750, 0.250], [0.750, 0.750, 0.750]],
  "n_ef_per_ev_cell": 6.809,
  "relative_energy_ev_per_atom": 0.6834,
  "density_g_cm3": 4.4,
  "e_form_mev_per_atom": 1782
}



12.
{
  "formula": "KAgB2",
  "functional": "PBE",
  "state": "relaxed",
  "lattice": [[3.967, 0.000, 0.000], [0.000, 3.967, 0.000], [0.000, 0.000, 16.860]],
  "species": ["K", "K", "K", "K", "Ag", "Ag", "Ag", "Ag", "B", "B", "B", "B", "B", "B", "B", "B"],
  "frac_coords": [[0.000, 0.250, 0.375], [0.000, 0.750, 0.625], [0.500, 0.250, 0.125], [0.500, 0.750, 0.875], [0.000, 0.250, 0.875], [0.000, 0.750, 0.125], [0.500, 0.250, 0.625], [0.500, 0.750, 0.375], [0.000, 0.000, 0.000], [0.000, 0.500, 0.000], [0.250, 0.250, 0.750], [0.250, 0.750, 0.250], [0.500, 0.000, 0.500], [0.500, 0.500, 0.500], [0.750, 0.250, 0.750], [0.750, 0.750, 0.250]],
  "n_ef_per_ev_cell": 5.275,
  "relative_energy_ev_per_atom": 0.0000,
  "density_g_cm3": 4.2,
  "e_form_mev_per_atom": 1098
}



Repeat the eleventh record exactly.
{
  "formula": "KAgB2",
  "functional": "PBE",
  "state": "relaxed",
  "lattice": [[6.335, 0.000, 0.000], [0.000, 6.335, 0.000], [0.000, 0.000, 6.335]],
  "species": ["K", "K", "K", "K", "Ag", "Ag", "Ag", "Ag", "B", "B", "B", "B", "B", "B", "B", "B"],
  "frac_coords": [[0.000, 0.000, 0.000], [0.000, 0.500, 0.500], [0.500, 0.000, 0.500], [0.500, 0.500, 0.000], [0.000, 0.000, 0.500], [0.000, 0.500, 0.000], [0.500, 0.000, 0.000], [0.500, 0.500, 0.500], [0.250, 0.250, 0.250], [0.250, 0.250, 0.750], [0.250, 0.750, 0.250], [0.250, 0.750, 0.750], [0.750, 0.250, 0.250], [0.750, 0.250, 0.750], [0.750, 0.750, 0.250], [0.750, 0.750, 0.750]],
  "n_ef_per_ev_cell": 6.809,
  "relative_energy_ev_per_atom": 0.6834,
  "density_g_cm3": 4.4,
  "e_form_mev_per_atom": 1782
}